# BiTeSe2, relaxed, DFT PBE
data_BiTeSe2
_cell_length_a 7.369
_cell_length_b 7.369
_cell_length_c 7.369
_cell_angle_alpha 90.00
_cell_angle_beta 90.00
_cell_angle_gamma 90.00
_space_group_name_H-M_alt 'P 1'
_space_group_IT_number 1
loop_
_space_group_symop_operation_xyz
'x,y,z'
loop_
_atom_site_label
_atom_site_fract_x
_atom_site_fract_y
_atom_site_fract_z
Bi1 0.000 0.000 0.000
Bi2 0.000 0.500 0.500
Bi3 0.500 0.000 0.500
Bi4 0.500 0.500 0.000
Te1 0.000 0.000 0.500
Te2 0.000 0.500 0.000
Te3 0.500 0.000 0.000
Te4 0.500 0.500 0.500
Se1 0.250 0.250 0.250
Se2 0.250 0.250 0.750
Se3 0.250 0.750 0.250
Se4 0.250 0.750 0.750
Se5 0.750 0.250 0.250
Se6 0.750 0.250 0.750
Se7 0.750 0.750 0.250
Se8 0.750 0.750 0.750
# Uncorrected energy in eV per atom: -3.339
# Magnetization in μB/f.u.: 0.00
# Energy relative to the lowest polymorph listed for this composition in meV/atom: 222.2
# Formation energy from raw total energies in eV per atom: 0.159
# SG: Fm-3m (225)